[1]
First-principles (PBE-GGA) data for a geometry-optimized Ac2Ga3AgAu4 structure, as listed in Alexandria.

POSCAR file:
```
Ac2Ga3AgAu4
1.0
-0.5764 4.1162 -2.0226
-3.6642 -1.6393 -2.2918
-6.3675 3.0417 8.0047
Ac Ga Ag Au
2 3 1 4
direct
0.5000 0.0000 0.2493
0.0000 0.5000 0.7507
0.0000 0.0000 0.5000
0.5000 0.0000 0.8773
0.0000 0.5000 0.1227
0.5000 0.5000 0.5000
0.5000 0.5000 0.0000
0.0000 0.0000 0.0000
0.5000 0.0000 0.6385
0.0000 0.5000 0.3615
```

Computed properties:
ΔE_f in eV per atom: -0.6073
Space group: P-4m2, No. 115
Calculated volume in A^3/atom: 22.8
Size of the total moment in μB/f.u.: 0.000

***

[2]
First-principles (PBE-GGA) data for a geometry-optimized ScPb structure, as listed in Alexandria.

POSCAR file:
```
ScPb
1.0
8.2628 0.0000 0.0000
-4.1314 7.1558 0.0000
0.0000 0.0000 5.7413
Sc Pb
6 6
direct
0.7604 0.9623 0.2500
0.7981 0.7604 0.7500
0.0377 0.7981 0.2500
0.2396 0.0377 0.7500
0.2019 0.2396 0.2500
0.9623 0.2019 0.7500
0.9228 0.3872 0.2500
0.5356 0.9228 0.7500
0.6128 0.5356 0.2500
0.0772 0.6128 0.7500
0.4644 0.0772 0.2500
0.3872 0.4644 0.7500
```

Computed properties:
ΔE_f in eV per atom: -0.1132
Space group: P6_3/m, No. 176
Calculated volume in A^3/atom: 28.3
Size of the total moment in μB/f.u.: 0.000

***

[3]
First-principles (PBE-GGA) data for a geometry-optimized Te2PtI structure, as listed in Alexandria.

POSCAR file:
```
Te2PtI
1.0
15.9476 0.0000 3.2595
1.5113 6.4972 -4.3340
-1.5113 6.4972 4.3340
I Te Pt
8 16 8
direct
0.0966 0.0330 0.1838
0.4034 0.6838 0.5330
0.9034 0.9670 0.8162
0.5966 0.3162 0.4670
0.3958 0.1500 0.6373
0.1042 0.1373 0.6500
0.6042 0.8500 0.3627
0.8958 0.8627 0.3500
0.0690 0.6576 0.6958
0.4310 0.1958 0.1576
0.9310 0.3424 0.3042
0.5690 0.8042 0.8424
0.7346 0.1782 0.1851
0.7654 0.6851 0.6782
0.2654 0.8218 0.8149
0.2346 0.3149 0.3218
0.4501 0.7134 0.1219
0.0499 0.6219 0.2134
0.5499 0.2866 0.8781
0.9501 0.3781 0.7866
0.7500 0.2609 0.7609
0.2500 0.7391 0.2391
0.7500 0.6485 0.1485
0.2500 0.3515 0.8515
0.3357 0.5115 0.0653
0.1643 0.5653 0.0115
0.6643 0.4885 0.9347
0.8357 0.4347 0.9885
0.3409 0.0141 0.9893
0.1591 0.4893 0.5141
0.6591 0.9859 0.0107
0.8409 0.5107 0.4859
```

Computed properties:
Space group: C2/c, No. 15
Calculated volume in A^3/atom: 30.1
Uncorrected formation energy in meV/atom: -94
Size of the total moment in μB/f.u.: 0.000

***

[4]
First-principles (PBE-GGA) data for a geometry-optimized NaNdY4S8 structure, as listed in Alexandria.

POSCAR file:
```
NaNdY4S8
1.0
8.1224 0.0000 0.0000
4.0612 7.0342 0.0000
4.0612 2.3447 6.7337
Na Nd Y S
1 1 4 8
direct
0.3735 0.3735 0.8796
0.0041 0.0041 0.9878
0.6257 0.6257 0.1228
0.0045 0.4868 0.5041
0.4868 0.0045 0.5041
0.0045 0.0045 0.5041
0.2438 0.7817 0.7308
0.7817 0.2438 0.7308
0.2438 0.2438 0.7308
0.2384 0.2384 0.2849
0.7532 0.2287 0.2648
0.2287 0.7532 0.2648
0.7532 0.7532 0.2648
0.7581 0.7581 0.7257
```

Computed properties:
Space group: R3m, No. 160
Calculated volume in A^3/atom: 27.5
Uncorrected formation energy in meV/atom: -1948
Size of the total moment in μB/f.u.: 0.000

***

[5]
First-principles (PBE-GGA) data for a geometry-optimized Sr8Li2Ni structure, as listed in Alexandria.

POSCAR file:
```
Sr8Li2Ni
1.0
4.1803 0.0000 -1.0511
0.1402 9.5229 0.5575
0.8158 1.4208 12.0829
Sr Li Ni
8 2 1
direct
0.5998 0.4868 0.1997
0.3782 0.0978 0.7564
0.2087 0.1846 0.4173
0.9853 0.7967 0.9707
0.7913 0.8154 0.5827
0.6218 0.9022 0.2436
0.4002 0.5132 0.8003
0.0147 0.2033 0.0293
0.2136 0.5949 0.4272
0.7864 0.4051 0.5728
0.5000 0.0000 0.0000
```

Computed properties:
ΔE_f in eV per atom: 0.0182
Space group: C2/m, No. 12
Calculated volume in A^3/atom: 44.1
Size of the total moment in μB/f.u.: 0.000

***

[6]
First-principles (PBE-GGA) data for a geometry-optimized La2AlSb structure, as listed in Alexandria.

POSCAR file:
```
La2AlSb
1.0
-0.5198 -1.3961 3.4141
2.4353 -2.7169 -0.7504
6.4964 4.9867 3.0282
Sb Al La
1 1 2
direct
0.0000 0.0000 0.5529
0.5000 0.5000 0.7020
0.0000 0.0000 0.9383
0.5000 0.5000 0.3068
```

Computed properties:
Excess energy over the best structure of this formula in the dataset in meV per atom: 450
Space group: Cmm2, No. 35
Calculated volume in A^3/atom: 30.3
Uncorrected formation energy in meV/atom: -308
Size of the total moment in μB/f.u.: 0.000

***

[7]
First-principles (PBE-GGA) data for a geometry-optimized Be4Tc structure, as listed in Alexandria.

POSCAR file:
```
Be4Tc
1.0
-1.5881 1.5881 4.5154
1.5881 -1.5881 4.5154
1.5881 1.5881 -4.5154
Be Tc
4 1
direct
0.7500 0.2500 0.5000
0.2500 0.7500 0.5000
0.6035 0.6035 0.0000
0.3965 0.3965 0.0000
0.0000 0.0000 0.0000
```

Computed properties:
Excess energy over the best structure of this formula in the dataset in meV per atom: 0
ΔE_f in eV per atom: -0.0772
Space group: I4/mmm, No. 139
Calculated volume in A^3/atom: 9.1
Size of the total moment in μB/f.u.: 0.000

***

[8]
First-principles (PBE-GGA) data for a geometry-optimized CsRb4Pd structure, as listed in Alexandria.

POSCAR file:
```
CsRb4Pd
1.0
-7.7364 2.4945 -0.1465
-2.1662 -7.0888 -6.3082
1.3045 -4.1636 11.7399
Cs Rb Pd
2 8 2
direct
0.1748 0.1987 0.3975
0.8252 0.8013 0.6025
0.7689 0.3315 0.6629
0.6110 0.3601 0.1925
0.0000 0.2775 0.0000
0.3890 0.1677 0.8075
0.2311 0.6685 0.3371
0.3890 0.6399 0.8075
0.0000 0.7225 0.0000
0.6110 0.8323 0.1925
0.6472 0.4821 0.9642
0.3528 0.5179 0.0358
```

Computed properties:
ΔE_f in eV per atom: 0.0607
Space group: C2/m, No. 12
Calculated volume in A^3/atom: 73.9
Size of the total moment in μB/f.u.: 0.000

***

[9]
First-principles (PBE-GGA) data for a geometry-optimized Al6P7 structure, as listed in Alexandria.

POSCAR file:
```
Al6P7
1.0
9.6896 0.3750 0.2309
8.1494 5.2550 0.2309
8.1494 2.5720 4.5884
P Al
7 6
direct
0.9170 0.4241 0.4241
0.4241 0.4241 0.9170
0.4241 0.9170 0.4241
0.0830 0.5759 0.5759
0.5759 0.0830 0.5759
0.5759 0.5759 0.0830
0.5000 0.5000 0.5000
0.9494 0.9494 0.9494
0.0506 0.0506 0.0506
0.8286 0.8286 0.8286
0.1714 0.1714 0.1714
0.6686 0.6686 0.6686
0.3314 0.3314 0.3314
```

Computed properties:
ΔE_f in eV per atom: 0.2715
Space group: R-3m, No. 166
Calculated volume in A^3/atom: 16.1
Size of the total moment in μB/f.u.: 0.000

***

[10]
First-principles (PBE-GGA) data for a geometry-optimized La3NdS4 structure, as listed in Alexandria.

POSCAR file:
```
La3NdS4
1.0
-2.9788 -2.0051 -2.0176
1.2198 -5.8315 3.9945
-4.9341 4.0941 3.2160
La Nd S
3 1 4
direct
0.0000 0.0000 0.5000
0.5000 0.5000 0.5000
0.0000 0.5000 0.0000
0.5000 0.0000 0.0000
0.0000 0.2465 0.2465
0.5000 0.7518 0.2482
0.0000 0.7535 0.7535
0.5000 0.2482 0.7518
```

Computed properties:
Excess energy over the best structure of this formula in the dataset in meV per atom: 3
Space group: Cmmm, No. 65
Calculated volume in A^3/atom: 25.0
Uncorrected formation energy in meV/atom: -2135
Size of the total moment in μB/f.u.: 0.000

***

[11]
First-principles (PBE-GGA) data for a geometry-optimized Dy4Al3In structure, as listed in Alexandria.

POSCAR file:
```
Dy4Al3In
1.0
-2.2274 -1.4003 -2.4606
-1.2076 -2.3619 2.4373
-10.5696 9.6249 4.0903
In Al Dy
1 3 4
direct
0.5000 0.5000 0.0000
0.5000 0.5000 0.2578
0.5000 0.5000 0.5000
0.5000 0.5000 0.7422
0.0000 0.0000 0.8641
0.0000 0.0000 0.1359
0.0000 0.0000 0.3798
0.0000 0.0000 0.6202
```

Computed properties:
Excess energy over the best structure of this formula in the dataset in meV per atom: 0
ΔE_f in eV per atom: -0.4120
Space group: P4/mmm, No. 123
Calculated volume in A^3/atom: 24.1
Size of the total moment in μB/f.u.: 0.000

***

[12]
First-principles (PBE-GGA) data for a geometry-optimized BaSrTl2 structure, as listed in Alexandria.

POSCAR file:
```
BaSrTl2
1.0
8.1126 -0.1618 -0.0996
6.5473 4.7930 -0.0996
6.5473 2.0684 4.3249
Ba Sr Tl
1 1 2
direct
0.5274 0.5274 0.5274
0.7137 0.7137 0.7137
0.9846 0.9846 0.9846
0.2743 0.2743 0.2743
```

Computed properties:
ΔE_f in eV per atom: -0.2263
Space group: R3m, No. 160
Calculated volume in A^3/atom: 44.1
Size of the total moment in μB/f.u.: 0.000